Record 1
A relaxed structure of TlMo2Cl8, computed with PBE-GGA.

Summary:
- Symmetry: C2/m, No. 12
- Crystal system: monoclinic

Cell: 7.922 7.922 8.016 Å, 107.69 107.69 56.89°
Fractional coordinates of all 11 atoms:
Tl (0.000, 0.000, 0.000)
Mo (0.200, 0.200, 0.682)
Mo (0.800, 0.800, 0.318)
Cl (0.108, 0.659, 0.230)
Cl (0.190, 0.190, 0.389)
Cl (0.341, 0.892, 0.770)
Cl (0.373, 0.373, 0.813)
Cl (0.627, 0.627, 0.187)
Cl (0.659, 0.108, 0.230)
Cl (0.810, 0.810, 0.611)
Cl (0.892, 0.341, 0.770)

Record 2
A relaxed structure of Tl3Mo2Cl9, computed with PBE-GGA.

Summary:
- Symmetry: P6_3/mmc, No. 194
- Crystal system: hexagonal

Cell: 7.222 7.222 17.614 Å, 90.00 90.00 120.00°
Fractional coordinates of all 28 atoms:
Tl (0.000, 0.000, 0.250)
Tl (0.000, 0.000, 0.750)
Tl (0.333, 0.667, 0.054)
Tl (0.333, 0.667, 0.446)
Tl (0.667, 0.333, 0.554)
Tl (0.667, 0.333, 0.946)
Mo (0.333, 0.667, 0.672)
Mo (0.333, 0.667, 0.828)
Mo (0.667, 0.333, 0.172)
Mo (0.667, 0.333, 0.328)
Cl (0.005, 0.502, 0.750)
Cl (0.176, 0.351, 0.592)
Cl (0.176, 0.351, 0.908)
Cl (0.176, 0.824, 0.592)
Cl (0.176, 0.824, 0.908)
Cl (0.351, 0.176, 0.092)
Cl (0.351, 0.176, 0.408)
Cl (0.498, 0.502, 0.750)
Cl (0.498, 0.995, 0.750)
Cl (0.502, 0.005, 0.250)
Cl (0.502, 0.498, 0.250)
Cl (0.649, 0.824, 0.592)
Cl (0.649, 0.824, 0.908)
Cl (0.824, 0.176, 0.092)
Cl (0.824, 0.176, 0.408)
Cl (0.824, 0.649, 0.092)
Cl (0.824, 0.649, 0.408)
Cl (0.995, 0.498, 0.250)

Record 3
A relaxed structure of TlMo2Cl, computed with PBE-GGA.

Summary:
- Symmetry: Cmm2, No. 35
- Crystal system: orthorhombic

Cell: 3.073 3.073 9.922 Å, 90.00 90.00 114.94°
Fractional coordinates of all 4 atoms:
Tl (0.000, 0.000, 0.000)
Mo (0.000, 0.000, 0.541)
Mo (0.500, 0.500, 0.728)
Cl (0.500, 0.500, 0.340)

Record 4
A relaxed structure of TlMo2Cl, computed with PBE-GGA.

Summary:
- Symmetry: P4mm, No. 99
- Crystal system: tetragonal

Cell: 3.161 3.161 8.288 Å, 90.00 90.00 90.00°
Fractional coordinates of all 4 atoms:
Tl (0.000, 0.000, 0.000)
Mo (0.000, 0.000, 0.580)
Mo (0.500, 0.500, 0.748)
Cl (0.500, 0.500, 0.363)

Record 5
A relaxed structure of Tl2MoCl, computed with PBE-GGA.

Summary:
- Symmetry: R3m, No. 160
- Crystal system: trigonal

Cell: 10.788 10.788 10.788 Å, 17.34 17.34 17.34°
Fractional coordinates of all 4 atoms:
Tl (0.000, 0.000, 0.000)
Tl (0.243, 0.243, 0.243)
Mo (0.501, 0.501, 0.501)
Cl (0.785, 0.785, 0.785)

Record 6
A relaxed structure of TlMo2Cl, computed with PBE-GGA.

Summary:
- Symmetry: R3m, No. 160
- Crystal system: trigonal

Cell: 10.032 10.032 10.032 Å, 18.68 18.68 18.68°
Fractional coordinates of all 4 atoms:
Tl (0.000, 0.000, 0.000)
Mo (0.243, 0.243, 0.243)
Mo (0.521, 0.521, 0.521)
Cl (0.791, 0.791, 0.791)

Record 7
A relaxed structure of Tl2MoCl, computed with PBE-GGA.

Summary:
- Symmetry: I4/mmm, No. 139
- Crystal system: tetragonal

Cell: 5.961 5.961 5.961 Å, 135.51 135.51 64.74°
Fractional coordinates of all 4 atoms:
Tl (0.250, 0.750, 0.500)
Tl (0.750, 0.250, 0.500)
Mo (0.000, 0.000, 0.000)
Cl (0.500, 0.500, 0.000)

Record 8
A relaxed structure of TlMoCl2, computed with PBE-GGA.

Summary:
- Symmetry: C2/m, No. 12
- Crystal system: monoclinic

Cell: 5.292 5.292 3.777 Å, 97.27 97.27 90.14°
Fractional coordinates of all 4 atoms:
Tl (0.000, 0.000, 0.000)
Mo (0.500, 0.500, 0.000)
Cl (0.000, 0.500, 0.500)
Cl (0.500, 0.000, 0.500)

Record 9
A relaxed structure of TlMo2Cl, computed with PBE-GGA.

Summary:
- Symmetry: Fm-3m, No. 225
- Crystal system: cubic

Cell: 4.655 4.655 4.655 Å, 60.00 60.00 60.00°
Fractional coordinates of all 4 atoms:
Tl (0.000, 0.000, 0.000)
Mo (0.250, 0.250, 0.250)
Mo (0.750, 0.750, 0.750)
Cl (0.500, 0.500, 0.500)

Record 10
A relaxed structure of Tl2MoCl, computed with PBE-GGA.

Summary:
- Symmetry: P4mm, No. 99
- Crystal system: tetragonal

Cell: 3.123 3.123 9.771 Å, 90.00 90.00 90.00°
Fractional coordinates of all 4 atoms:
Tl (0.000, 0.000, 0.000)
Tl (0.500, 0.500, 0.292)
Mo (0.500, 0.500, 0.776)
Cl (0.000, 0.000, 0.636)

Record 11
A relaxed structure of TlMoCl2, computed with PBE-GGA.

Summary:
- Symmetry: I-42d, No. 122
- Crystal system: tetragonal

Cell: 7.747 7.747 7.747 Å, 133.76 133.76 67.46°
Fractional coordinates of all 8 atoms:
Tl (0.000, 0.000, 0.000)
Tl (0.750, 0.250, 0.500)
Mo (0.250, 0.750, 0.500)
Mo (0.500, 0.500, 0.000)
Cl (0.249, 0.625, 0.124)
Cl (0.375, 0.499, 0.624)
Cl (0.501, 0.125, 0.876)
Cl (0.875, 0.751, 0.376)

Record 12
A relaxed structure of Tl2MoCl, computed with PBE-GGA.

Summary:
- Symmetry: F-43m, No. 216
- Crystal system: cubic

Cell: 5.155 5.155 5.155 Å, 60.00 60.00 60.00°
Fractional coordinates of all 4 atoms:
Tl (0.000, 0.000, 0.000)
Tl (0.250, 0.250, 0.250)
Mo (0.500, 0.500, 0.500)
Cl (0.750, 0.750, 0.750)

In order of appearance, spin magnetization = 0.45 0.29 0.00 0.00 0.04 0.00 1.05 1.25 0.48 0.23 0.00 0.83 μB/atom.
In order of appearance, uncorrected energy = -4.24 -4.20 -6.20 -6.20 -4.22 -6.30 -3.66 -3.98 -5.35 -4.05 -4.02 -3.66 eV/atom.